No. 1
Computed, not measured: an optimized crystal structure of Ba2PaBiSe6 at the PBE level of DFT.

a b c (Å): 7.5031 7.9815 10.8909
angles (deg): 90.00 89.52 90.00
Sites, in units of the cell vectors:
Se1 0.3972 0.9759 0.7432
Se2 0.8016 0.8115 0.5492
Se3 0.6984 0.3115 0.9508
Se4 0.1984 0.1885 0.4508
Se5 0.8178 0.7962 0.9465
Se6 0.6822 0.2962 0.5535
Se7 0.6028 0.0241 0.2568
Se8 0.8972 0.5241 0.2432
Se9 0.1028 0.4759 0.7568
Se10 0.1822 0.2038 0.0535
Se11 0.3016 0.6885 0.0492
Se12 0.3178 0.7038 0.4465
Pa1 0.0000 0.5000 0.0000
Pa2 0.5000 0.0000 0.5000
Bi1 0.0000 0.5000 0.5000
Bi2 0.5000 0.0000 0.0000
Ba1 0.4728 0.4193 0.2483
Ba2 0.0272 0.9193 0.2517
Ba3 0.5272 0.5807 0.7517
Ba4 0.9728 0.0807 0.7483

Summary:
Energy ... -5.239 eV per atom
Density ... 6.05 g/cm3

No. 2
Computed, not measured: an optimized crystal structure of Ba2CoTeSe at the PBE level of DFT.

a b c (Å): 6.3121 6.3121 4.4065
angles (deg): 90.00 90.00 90.00
Last column: magnetic moment on the atom in μB.
Sites, in units of the cell vectors:
Ba1 0.5000 0.0000 0.0000  -0.03
Ba2 0.0000 0.5000 0.0000  -0.03
Te1 0.5000 0.5000 0.5000  0.01
Se1 0.0000 0.0000 0.0000  0.03
Co1 0.0000 0.0000 0.5000  1.23

Summary:
Energy ... -4.431 eV per atom
DOS at the Fermi energy ... 0.79 states/eV/atom
Density ... 5.11 g/cm3

No. 3
Computed, not measured: an optimized crystal structure of TmBi2S4 at the PBE level of DFT.

a b c (Å): 3.8343 7.3134 12.7269
angles (deg): 90.00 90.00 90.00
Sites, in units of the cell vectors:
S1 0.0000 0.3800 0.2044
S2 0.5000 0.7490 0.5400
S3 0.5000 0.2510 0.4600
S4 0.5000 0.2490 0.9600
S5 0.0000 0.8800 0.2956
S6 0.0000 0.1200 0.7044
S7 0.0000 0.6200 0.7956
S8 0.5000 0.7510 0.0400
Bi1 0.5000 0.6054 0.3420
Bi2 0.5000 0.3946 0.6580
Bi3 0.5000 0.1054 0.1580
Bi4 0.5000 0.8946 0.8420
Tm1 0.0000 0.0000 0.5000
Tm2 0.0000 0.5000 0.0000

Summary:
Energy ... -4.943 eV per atom
DOS at the Fermi energy ... 0.35 states/eV/atom
Density ... 6.65 g/cm3

No. 4
Computed, not measured: an optimized crystal structure of KReBr2 at the PBE level of DFT.

a b c (Å): 7.8225 7.8225 4.3568
angles (deg): 74.54 74.54 24.60
Last column: magnetic moment on the atom in μB.
Sites, in units of the cell vectors:
Br1 0.7408 0.7408 0.7503  0.04
Br2 0.9377 0.9377 0.0743  0.10
Re1 0.2706 0.2706 0.2093  2.17
K1 0.5509 0.5509 0.4661  0.02

Summary:
Energy ... -3.766 eV per atom
DOS at the Fermi energy ... 0.82 states/eV/atom
Density ... 5.99 g/cm3

Repeat the second record exactly.
Computed, not measured: an optimized crystal structure of Ba2CoTeSe at the PBE level of DFT.

a b c (Å): 6.3121 6.3121 4.4065
angles (deg): 90.00 90.00 90.00
Last column: magnetic moment on the atom in μB.
Sites, in units of the cell vectors:
Ba1 0.5000 0.0000 0.0000  -0.03
Ba2 0.0000 0.5000 0.0000  -0.03
Te1 0.5000 0.5000 0.5000  0.01
Se1 0.0000 0.0000 0.0000  0.03
Co1 0.0000 0.0000 0.5000  1.23

Summary:
Energy ... -4.431 eV per atom
DOS at the Fermi energy ... 0.79 states/eV/atom
Density ... 5.11 g/cm3

Look up the energy of the third one. -4.943 eV per atom

Look up the density of the second one. 5.11 g/cm3